# 1
This record from Alexandria via LeMat-Bulk describes ZrSc2Cd4 after structural relaxation. The functional is PBE-GGA.

Computed properties:
**Formation energy from the elements**: 0.090 eV per formula unit
**Total magnetic moment**: 0.3 μB per formula unit
**E**: -3.5402 eV/atom
**E above lowest polymorph**: 44.7 meV per atom

abc: 10.7702 10.7702 3.0426
angles: 90.00 90.00 153.88
Atoms (fractional coordinates):
Zr 0.0000 0.0000 0.0000
Sc 0.2893 0.7107 0.5000
Sc 0.7107 0.2893 0.5000
Cd 0.1531 0.8469 0.0000
Cd 0.4305 0.5695 0.5000
Cd 0.5695 0.4305 0.5000
Cd 0.8469 0.1531 0.0000

# 2
This record from Alexandria via LeMat-Bulk describes Zr4ScCd5 after structural relaxation. The functional is PBE-GGA.

Computed properties:
**Formation energy from the elements**: -1.093 eV per formula unit
**Total magnetic moment**: 0.0 μB per formula unit
**E**: -4.6193 eV/atom

abc: 3.5217 3.5217 17.6551
angles: 90.00 90.00 90.00
Atoms (fractional coordinates):
Zr 0.0000 0.0000 0.0998
Zr 0.0000 0.0000 0.2992
Zr 0.0000 0.0000 0.7008
Zr 0.0000 0.0000 0.9002
Sc 0.0000 0.0000 0.5000
Cd 0.5000 0.5000 0.0000
Cd 0.5000 0.5000 0.1995
Cd 0.5000 0.5000 0.4021
Cd 0.5000 0.5000 0.5979
Cd 0.5000 0.5000 0.8005

# 3
This record from Alexandria via LeMat-Bulk describes ZrSc2Cd6 after structural relaxation. The functional is PBE-GGA.

Computed properties:
**Formation energy from the elements**: -1.692 eV per formula unit
**Total magnetic moment**: 0.0 μB per formula unit
**E**: -3.1549 eV/atom

abc: 8.4290 8.4290 3.1886
angles: 90.02 90.02 60.04
Atoms (fractional coordinates):
Zr 0.0000 0.0000 0.0000
Sc 0.3333 0.3333 0.0000
Sc 0.6667 0.6667 0.0000
Cd 0.0002 0.3333 0.4985
Cd 0.9998 0.6667 0.5015
Cd 0.3333 0.0002 0.4985
Cd 0.3337 0.6663 0.5000
Cd 0.6663 0.3337 0.5000
Cd 0.6667 0.9998 0.5015

# 4
This record from Alexandria via LeMat-Bulk describes ZrSc2Cd5 after structural relaxation. The functional is PBE-GGA.

Computed properties:
**Formation energy from the elements**: -1.358 eV per formula unit
**Total magnetic moment**: 0.7 μB per formula unit
**E**: -3.3932 eV/atom

abc: 8.2882 8.2882 8.2882
angles: 146.40 146.40 48.25
Atoms (fractional coordinates):
Zr 0.0000 0.0000 0.0000
Sc 0.2539 0.2539 0.0000
Sc 0.7461 0.7461 0.0000
Cd 0.1244 0.6244 0.5000
Cd 0.3756 0.8756 0.5000
Cd 0.5000 0.5000 0.0000
Cd 0.6244 0.1244 0.5000
Cd 0.8756 0.3756 0.5000

# 5
This record from Alexandria via LeMat-Bulk describes ZrScCd4 after structural relaxation. The functional is PBE-GGA.

Computed properties:
**Formation energy from the elements**: -0.937 eV per formula unit
**Total magnetic moment**: 0.0 μB per formula unit
**E**: -3.2461 eV/atom
**E above lowest polymorph**: 0.0 meV per atom

abc: 4.8716 4.8716 6.3594
angles: 90.06 90.06 60.01
Atoms (fractional coordinates):
Zr 0.0000 0.0000 0.0000
Sc 0.0000 0.0000 0.5000
Cd 0.3331 0.3331 0.7542
Cd 0.3336 0.3336 0.2460
Cd 0.6664 0.6664 0.7540
Cd 0.6669 0.6669 0.2458

# 6
This record from Alexandria via LeMat-Bulk describes ZrSc3Cd2 after structural relaxation. The functional is PBE-GGA.

Computed properties:
**Formation energy from the elements**: -1.205 eV per formula unit
**Total magnetic moment**: 0.0 μB per formula unit
**E**: -5.0963 eV/atom

abc: 3.2860 3.2860 12.5987
angles: 90.00 90.00 90.00
Atoms (fractional coordinates):
Zr 0.0000 0.0000 0.0000
Sc 0.5000 0.5000 0.1728
Sc 0.5000 0.5000 0.5000
Sc 0.5000 0.5000 0.8272
Cd 0.0000 0.0000 0.3381
Cd 0.0000 0.0000 0.6619